DFT (PBE with a Hubbard U) results for crystalline GaNiPdF6 at its relaxed geometry.

The crystal system is trigonal. As for the total energy: -4.380 eV/atom.

The space group is P-31c (No. 163) and the conventional cell measures 5.2933, 5.2933 and 10.1731 Å, with angles of 90.00, 90.00 and 120.00 degrees. Symmetry generates all atoms from Ga at (0.3333, 0.6667, 0.2500), Ni at (0.3333, 0.6667, 0.7500), Pd at (0.0000, 0.0000, 0.0000) and F at (0.0145, 0.3768, 0.1456).